Here is a relaxed Cs3RbCl4 crystal from the Alexandria database. Energies are from PBE.

Properties
The value obtained for the total DFT energy (no corrections) is -3.321 eV per atom. The calculation puts the volume at 42.5 Å³/atom. The value obtained for the density of states at the Fermi level is 0.00 states/eV/atom. As for the symmetry: I4/mmm (139).

Cell lengths 6.9751, 6.9751, 8.5533 Å; angles 114.06, 114.06, 90.00 degrees
Element x y z (fractional)
Cs: 0.5000 0.5000 0.0000
Cs: 0.7500 0.2500 0.5000
Cs: 0.2500 0.7500 0.5000
Rb: 0.0000 0.0000 0.0000
Cl: 0.7585 0.7585 0.5169
Cl: 0.2415 0.2415 0.4831
Cl: 0.5000 0.0000 0.0000
Cl: 0.0000 0.5000 0.0000